Record 1
First-principles (PBEsol) data for an optimized crystal structure of W3SCl, as listed in Alexandria via LeMat-Bulk.

Cell: 4.3747 4.3747 4.3747 Å, 90.00 90.00 90.00°
Last column: nearest neighbours and their distance in Å.
Space group Pm-3m (No. 221)
Inequivalent atoms, fractional coordinates:
W (0.0000, 0.0000, 0.5000) [3 per cell]  2 Cl 2.19
S (0.5000, 0.5000, 0.5000) [1 per cell]  12 W 3.09
Cl (0.0000, 0.0000, 0.0000) [1 per cell]  6 W 2.19

Computed properties:
The calculation puts the total energy at -7.677 eV/atom. The calculation puts the formation energy (no corrections) at 1.89 eV per atom. As for the magnetization: 0.0 μB per cell. As for the theoretical density: 12.28 g/cm3.

Record 2
First-principles (PBEsol) data for an optimized crystal structure of AgIrOs2, as listed in Alexandria via LeMat-Bulk.

Cell: 2.7285 3.8376 5.5326 Å, 90.00 90.00 90.00°
Last column: nearest neighbours and their distance in Å.
Space group Pmm2 (No. 25)
Inequivalent atoms, fractional coordinates:
Ag (0.0000, 0.0000, 0.0000) [1 per cell]  6 Os 2.72-2.81, 2 Ag 2.73, 4 Ir 2.75
Ir (0.5000, 0.5000, 0.2559) [1 per cell]  6 Os 2.63-2.91, 2 Ir 2.73, 4 Ag 2.75
Os (0.0000, 0.0000, 0.5079) [1 per cell]  6 Os 2.66-2.73, 2 Ag 2.72-2.81, 4 Ir 2.74
Os (0.5000, 0.5000, 0.7307) [1 per cell]  2 Ir 2.63-2.91, 6 Os 2.66-2.73, 4 Ag 2.79

Computed properties:
The calculation puts the total energy at -8.975 eV/atom. The value obtained for the formation energy is 40.2 kJ per mole of atoms. As for the magnetization: 0.0 μB per cell. As for the theoretical density: 19.51 g/cm3.

Record 3
First-principles (PBEsol) data for an optimized crystal structure of Sc4PbSe, as listed in Alexandria via LeMat-Bulk.

Cell: 8.1343 8.1343 8.1343 Å, 90.00 90.00 90.00°
Last column: nearest neighbours and their distance in Å.
Space group F-43m (No. 216)
Inequivalent atoms, fractional coordinates:
Sc (0.1241, 0.1241, 0.3759) [16 per cell]  6 Sc 2.86-2.90
Pb (0.2500, 0.2500, 0.7500) [4 per cell]  12 Sc 3.37, 4 Se 3.52
Se (0.0000, 0.0000, 0.0000) [4 per cell]  12 Sc 3.37, 4 Pb 3.52

Computed properties:
The calculation puts the total energy at -5.757 eV/atom. The calculation puts the formation energy (no corrections) at -0.05 eV per atom. As for the magnetization: 0.0 μB per cell. As for the theoretical density: 5.75 g/cm3.

Record 4
First-principles (PBEsol) data for an optimized crystal structure of LaMg2CoH, as listed in Alexandria via LeMat-Bulk.

Cell: 4.8193 4.8193 4.9693 Å, 90.00 90.00 90.00°
Last column: nearest neighbours and their distance in Å.
Space group P4/mmm (No. 123)
Inequivalent atoms, fractional coordinates:
La (0.0000, 0.0000, 0.0000) [1 per cell]  2 Co 2.48
Mg (0.0000, 0.5000, 0.5000) [2 per cell]  2 Co 2.41
Co (0.0000, 0.0000, 0.5000) [1 per cell]  4 Mg 2.41, 2 La 2.48
H (0.5000, 0.5000, 0.0000) [1 per cell]  4 La 3.41, 8 Mg 3.46

Computed properties:
The calculation puts the total energy at -3.680 eV/atom. As for the magnetization: 0.0 μB per cell. As for the theoretical density: 3.56 g/cm3.

Record 5
First-principles (PBEsol) data for an optimized crystal structure of CdSnH2S, as listed in Alexandria via LeMat-Bulk.

Cell: 3.8974 3.8974 5.5735 Å, 90.00 90.00 90.00°
Last column: nearest neighbours and their distance in Å.
Space group P4/mmm (No. 123)
Inequivalent atoms, fractional coordinates:
Cd (0.0000, 0.0000, 0.0000) [1 per cell]  4 S 2.76
Sn (0.5000, 0.5000, 0.5000) [1 per cell]  4 H 1.95
H (0.0000, 0.5000, 0.5000) [2 per cell]  2 Sn 1.95
S (0.5000, 0.5000, 0.0000) [1 per cell]  4 Cd 2.76, 2 Sn 2.79

Computed properties:
The calculation puts the total energy at -3.188 eV/atom. As for the magnetization: 0.0 μB per cell. As for the theoretical density: 5.20 g/cm3.

Record 6
First-principles (PBEsol) data for an optimized crystal structure of Be3CoSb, as listed in Alexandria via LeMat-Bulk.

Cell: 4.4949 4.4949 4.4949 Å, 90.00 90.00 90.00°
Last column: nearest neighbours and their distance in Å.
Space group Pm-3m (No. 221)
Inequivalent atoms, fractional coordinates:
Be (0.0000, 0.0000, 0.5000) [3 per cell]  2 Sb 2.25
Co (0.5000, 0.5000, 0.5000) [1 per cell]  12 Be 3.18
Sb (0.0000, 0.0000, 0.0000) [1 per cell]  6 Be 2.25

Computed properties:
The calculation puts the total energy at -3.100 eV/atom. The calculation puts the formation energy (no corrections) at 1.76 eV per atom. As for the magnetization: 1.3 μB per cell. As for the theoretical density: 3.80 g/cm3.

Record 7
First-principles (PBEsol) data for an optimized crystal structure of MgMn3Sn, as listed in Alexandria via LeMat-Bulk.

Cell: 4.9300 4.9300 4.9300 Å, 90.00 90.00 90.00°
Last column: nearest neighbours and their distance in Å.
Space group Pm-3m (No. 221)
Inequivalent atoms, fractional coordinates:
Mg (0.0000, 0.0000, 0.0000) [1 per cell]  12 Mn 3.49
Mn (0.0000, 0.5000, 0.5000) [3 per cell]  2 Sn 2.47
Sn (0.5000, 0.5000, 0.5000) [1 per cell]  6 Mn 2.47

Computed properties:
The calculation puts the total energy at -5.863 eV/atom. The value obtained for the formation energy is 114.7 kJ per mole of atoms. As for the magnetization: 11.3 μB per cell. As for the theoretical density: 4.27 g/cm3.

Record 8
First-principles (PBEsol) data for an optimized crystal structure of YTe2Pd2, as listed in Alexandria via LeMat-Bulk.

Cell: 3.9990 3.9990 13.6080 Å, 90.00 90.00 90.00°
Last column: nearest neighbours and their distance in Å.
Space group I4/mmm (No. 139)
Inequivalent atoms, fractional coordinates:
Y (0.0000, 0.0000, 0.0000) [2 per cell]  8 Te 3.24
Te (0.0000, 0.0000, 0.3834) [4 per cell]  4 Pd 2.70
Pd (0.0000, 0.5000, 0.2500) [4 per cell]  4 Te 2.70, 4 Pd 2.83

Computed properties:
The calculation puts the total energy at -5.838 eV/atom. The calculation puts the formation energy (no corrections) at -0.68 eV per atom. As for the magnetization: 0.0 μB per cell. As for the theoretical density: 8.50 g/cm3.

Record 9
First-principles (PBEsol) data for an optimized crystal structure of LiHfIr3, as listed in Alexandria via LeMat-Bulk.

Cell: 4.1219 4.1219 4.1219 Å, 90.00 90.00 90.00°
Last column: nearest neighbours and their distance in Å.
Space group Pm-3m (No. 221)
Inequivalent atoms, fractional coordinates:
Li (0.0000, 0.0000, 0.0000) [1 per cell]  6 Ir 2.06
Hf (0.5000, 0.5000, 0.5000) [1 per cell]  12 Ir 2.91
Ir (0.0000, 0.0000, 0.5000) [3 per cell]  2 Li 2.06

Computed properties:
The calculation puts the total energy at -8.388 eV/atom. The value obtained for the formation energy is 0.0 kJ per mole of atoms. As for the magnetization: 0.0 μB per cell. As for the theoretical density: 18.07 g/cm3.

Record 10
First-principles (PBEsol) data for an optimized crystal structure of BaFe2Tc, as listed in Alexandria via LeMat-Bulk.

Cell: 2.9472 5.3318 9.6940 Å, 90.00 90.00 90.00°
Last column: nearest neighbours and their distance in Å.
Space group Immm (No. 71)
Inequivalent atoms, fractional coordinates:
Ba (0.0000, 0.0000, 0.0000) [2 per cell]  2 Ba 2.95, 4 Tc 3.05, 4 Fe 3.21
Fe (0.0000, 0.5000, 0.2054) [4 per cell]  2 Tc 2.48
Tc (0.0000, 0.0000, 0.5000) [2 per cell]  4 Fe 2.48

Computed properties:
The calculation puts the total energy at -6.617 eV/atom. The value obtained for the formation energy is 117.6 kJ per mole of atoms. As for the magnetization: 10.7 μB per cell. As for the theoretical density: 7.57 g/cm3.

Record 11
First-principles (PBEsol) data for an optimized crystal structure of KHgC3N3O3, as listed in Alexandria via LeMat-Bulk.

Cell: 10.3028 3.9636 17.6516 Å, 90.00 90.00 90.00°
Last column: nearest neighbours and their distance in Å.
Space group Pnma (No. 62)
Inequivalent atoms, fractional coordinates:
K (0.0865, 0.2500, 0.1603) [4 per cell]  5 O 2.79-2.84, 3 N 2.92-2.93
Hg (0.1494, 0.2500, 0.5391) [4 per cell]  2 N 2.11-2.12
C (0.1156, 0.2500, 0.3731) [4 per cell]  1 O 1.20, 1 N 1.21
C (0.1228, 0.2500, 0.9696) [4 per cell]  1 N 1.21, 1 O 1.21
C (0.1264, 0.2500, 0.7060) [4 per cell]  1 O 1.20, 1 N 1.21
N (0.0562, 0.2500, 0.4325) [4 per cell]  1 C 1.21
N (0.2044, 0.2500, 0.6547) [4 per cell]  1 C 1.21
N (0.2140, 0.2500, 0.0124) [4 per cell]  1 C 1.21
O (0.0305, 0.2500, 0.9274) [4 per cell]  1 C 1.21
O (0.0542, 0.2500, 0.7592) [4 per cell]  1 C 1.20
O (0.1679, 0.2500, 0.3126) [4 per cell]  1 C 1.20

Computed properties:
The calculation puts the total energy at -7.102 eV/atom. The calculation puts the formation energy (no corrections) at -0.56 eV per atom. As for the magnetization: 0.0 μB per cell. As for the theoretical density: 3.37 g/cm3.

Record 12
First-principles (PBEsol) data for an optimized crystal structure of NiAgF2, as listed in Alexandria via LeMat-Bulk.

Cell: 2.9139 2.9139 23.4365 Å, 90.00 90.00 120.00°
Last column: nearest neighbours and their distance in Å.
Space group R-3m (No. 166, hexagonal axes)
Inequivalent atoms, fractional coordinates:
Ni (0.0000, 0.0000, 0.0000) [3 per cell]  6 F 2.00
Ag (0.0000, 0.0000, 0.5000) [3 per cell]  2 F 2.83, 6 Ag 2.91
F (0.0000, 0.0000, 0.3793) [6 per cell]  3 Ni 2.00

Computed properties:
The calculation puts the total energy at -4.284 eV/atom. The calculation puts the formation energy (no corrections) at -0.95 eV per atom. As for the magnetization: 5.7 μB per cell. As for the theoretical density: 5.91 g/cm3.

Copy entry 5 word for word.
First-principles (PBEsol) data for an optimized crystal structure of CdSnH2S, as listed in Alexandria via LeMat-Bulk.

Cell: 3.8974 3.8974 5.5735 Å, 90.00 90.00 90.00°
Last column: nearest neighbours and their distance in Å.
Space group P4/mmm (No. 123)
Inequivalent atoms, fractional coordinates:
Cd (0.0000, 0.0000, 0.0000) [1 per cell]  4 S 2.76
Sn (0.5000, 0.5000, 0.5000) [1 per cell]  4 H 1.95
H (0.0000, 0.5000, 0.5000) [2 per cell]  2 Sn 1.95
S (0.5000, 0.5000, 0.0000) [1 per cell]  4 Cd 2.76, 2 Sn 2.79

Computed properties:
The calculation puts the total energy at -3.188 eV/atom. As for the magnetization: 0.0 μB per cell. As for the theoretical density: 5.20 g/cm3.

- Look up the theoretical density of the third one.
  5.75 g/cm3

- What is the formula in the ninth record?
  LiHfIr3